Entry 1:
A geometry-optimized TbCeTh2S4 structure. Source: the Alexandria database, functional GGA-PBE.

abc: 4.0003 6.8851 6.9919
angles: 109.24 90.00 90.00
Element x y z (fractional)
Th1 0.5000 0.0000 0.5000
Th2 0.0000 0.5000 0.5000
S1 0.0000 0.7428 0.2400
S2 0.5000 0.7482 0.7571
S3 0.5000 0.2518 0.2429
S4 0.0000 0.2572 0.7600
Tb1 0.5000 0.5000 0.0000
Ce1 0.0000 0.0000 0.0000

Calculated values
magnetic moment: 0.24 μB per formula unit
calculated total energy: -7.18 eV/atom
formation energy from raw total energies: -1.94 eV/atom



Entry 2:
A geometry-optimized PrNdAlSn structure. Source: the Alexandria database, functional GGA-PBE.

abc: 4.6592 4.3186 6.2918
angles: 90.00 111.73 90.00
Element x y z (fractional)
Pr1 0.1427 0.0000 0.2853
Sn1 0.5750 0.5000 0.1501
Al1 0.4211 0.0000 0.8422
Nd1 0.8612 0.5000 0.7224

Calculated values
energy relative to the lowest polymorph listed for this composition: 0.000 eV per atom
magnetic moment: 0.19 μB per formula unit
calculated total energy: -4.93 eV/atom
ΔE_f: -0.606 eV/atom



Entry 3:
A geometry-optimized TbPr2SmP4 structure. Source: the Alexandria database, functional GGA-PBE.

abc: 4.1391 7.1637 7.1623
angles: 109.46 90.00 90.00
Element x y z (fractional)
Pr1 0.5000 0.0000 0.5000
Pr2 0.0000 0.5000 0.5000
P1 0.5000 0.2449 0.2411
P2 0.0000 0.2503 0.7572
P3 0.5000 0.7551 0.7589
P4 0.0000 0.7497 0.2428
Sm1 0.5000 0.5000 0.0000
Tb1 0.0000 0.0000 0.0000

Calculated values
magnetic moment: 0.00 μB per formula unit
calculated total energy: -6.62 eV/atom
ΔE_f: -1.548 eV/atom



Entry 4:
A geometry-optimized Pm2Ga3Cu2 structure. Source: the Alexandria database, functional GGA-PBE.

abc: 4.3074 7.0144 9.5043
angles: 90.00 103.10 90.00
Element x y z (fractional)
Pm1 0.1608 0.2500 0.3215
Pm2 0.8392 0.7500 0.6785
Pm3 0.0560 0.7500 0.1121
Pm4 0.9440 0.2500 0.8879
Ga1 0.7759 0.2500 0.5517
Ga2 0.2241 0.7500 0.4483
Ga3 0.4383 0.9293 0.8765
Ga4 0.4383 0.5707 0.8765
Ga5 0.5617 0.0707 0.1235
Ga6 0.5617 0.4293 0.1235
Cu1 0.3114 0.0647 0.6227
Cu2 0.3114 0.4353 0.6227
Cu3 0.6886 0.9353 0.3773
Cu4 0.6886 0.5647 0.3773

Calculated values
energy relative to the lowest polymorph listed for this composition: 0.000 eV per atom
magnetic moment: 0.00 μB per formula unit
calculated total energy: -4.30 eV/atom
ΔE_f: -0.474 eV/atom